[1]
# Ti3AuN | Alexandria via LeMat-Bulk | PBE | optimized geometry
# - D(E_F) (states/eV/cell) = 10.879
# - energy (eV per cell) = -66.378
data_Ti3AuN
_chemical_formula_sum 'Ti6 Au2 N2'
_space_group_name_H-M_alt 'P 1'
_space_group_IT_number 1
_cell_length_a 11.3409
_cell_length_b 11.3409
_cell_length_c 11.3409
_cell_angle_alpha 158.68
_cell_angle_beta 158.68
_cell_angle_gamma 30.33
loop_
_space_group_symop_operation_xyz
'x,y,z'
loop_
_atom_site_label
_atom_site_type_symbol
_atom_site_fract_x
_atom_site_fract_y
_atom_site_fract_z
_atom_site_occupancy
Ti1 Ti 0.1818 0.1818 0.0000 1
Ti2 Ti 0.3754 0.6165 0.7589 1
Ti3 Ti 0.3835 0.1424 0.7589 1
Ti4 Ti 0.3835 0.6246 0.2411 1
Ti5 Ti 0.8182 0.8182 0.0000 1
Ti6 Ti 0.8576 0.6165 0.2411 1
Au1 Au 0.2500 0.7500 0.5000 1
Au2 Au 0.5000 0.5000 0.0000 1
N1 N 0.6442 0.1442 0.5000 1
N2 N 0.8558 0.3558 0.5000 1

[2]
# YZr2Ga2 | Alexandria via LeMat-Bulk | PBE | optimized geometry
# - offset from the most stable computed form (eV per atom) = 0.038
# - D(E_F) (states/eV/cell) = 9.794
# - DFT formation energy (meV/atom) = -438
# - energy (eV per cell) = -63.606
data_YZr2Ga2
_chemical_formula_sum 'Y2 Zr4 Ga4'
_space_group_name_H-M_alt 'P 1'
_space_group_IT_number 1
_cell_length_a 4.2003
_cell_length_b 4.2003
_cell_length_c 12.6494
_cell_angle_alpha 90.00
_cell_angle_beta 90.00
_cell_angle_gamma 90.00
loop_
_space_group_symop_operation_xyz
'x,y,z'
loop_
_atom_site_label
_atom_site_type_symbol
_atom_site_fract_x
_atom_site_fract_y
_atom_site_fract_z
_atom_site_occupancy
Y1 Y 0.0000 0.0000 0.0000 1
Y2 Y 0.5000 0.5000 0.5000 1
Zr1 Zr 0.0000 0.5000 0.2500 1
Zr2 Zr 0.0000 0.5000 0.7500 1
Zr3 Zr 0.5000 0.0000 0.2500 1
Zr4 Zr 0.5000 0.0000 0.7500 1
Ga1 Ga 0.0000 0.0000 0.4027 1
Ga2 Ga 0.0000 0.0000 0.5973 1
Ga3 Ga 0.5000 0.5000 0.0973 1
Ga4 Ga 0.5000 0.5000 0.9027 1

[3]
# Rb2GaAu4 | Alexandria via LeMat-Bulk | PBE | optimized geometry
# - D(E_F) (states/eV/cell) = 3.230
# - DFT formation energy (meV/atom) = -145
# - energy (eV per cell) = -38.172
data_Rb2GaAu4
_chemical_formula_sum 'Rb4 Ga2 Au8'
_space_group_name_H-M_alt 'P 1'
_space_group_IT_number 1
_cell_length_a 5.0701
_cell_length_b 5.0701
_cell_length_c 17.8110
_cell_angle_alpha 90.00
_cell_angle_beta 90.00
_cell_angle_gamma 90.00
loop_
_space_group_symop_operation_xyz
'x,y,z'
loop_
_atom_site_label
_atom_site_type_symbol
_atom_site_fract_x
_atom_site_fract_y
_atom_site_fract_z
_atom_site_occupancy
Rb1 Rb 0.0000 0.0000 0.1503 1
Rb2 Rb 0.0000 0.0000 0.8497 1
Rb3 Rb 0.5000 0.5000 0.3497 1
Rb4 Rb 0.5000 0.5000 0.6503 1
Ga1 Ga 0.0000 0.0000 0.5000 1
Ga2 Ga 0.5000 0.5000 0.0000 1
Au1 Au 0.0000 0.0000 0.3541 1
Au2 Au 0.0000 0.0000 0.6459 1
Au3 Au 0.0000 0.5000 0.0000 1
Au4 Au 0.0000 0.5000 0.5000 1
Au5 Au 0.5000 0.0000 0.0000 1
Au6 Au 0.5000 0.0000 0.5000 1
Au7 Au 0.5000 0.5000 0.1459 1
Au8 Au 0.5000 0.5000 0.8541 1

[4]
# Hf2CuOs2 | Alexandria via LeMat-Bulk | PBE | optimized geometry
# - D(E_F) (states/eV/cell) = 8.785
# - DFT formation energy (meV/atom) = -89
# - energy (eV per cell) = -93.815
data_Hf2CuOs2
_chemical_formula_sum 'Hf4 Cu2 Os4'
_space_group_name_H-M_alt 'P 1'
_space_group_IT_number 1
_cell_length_a 7.3750
_cell_length_b 7.3750
_cell_length_c 3.2758
_cell_angle_alpha 90.00
_cell_angle_beta 90.00
_cell_angle_gamma 90.00
loop_
_space_group_symop_operation_xyz
'x,y,z'
loop_
_atom_site_label
_atom_site_type_symbol
_atom_site_fract_x
_atom_site_fract_y
_atom_site_fract_z
_atom_site_occupancy
Hf1 Hf 0.1598 0.3402 0.0000 1
Hf2 Hf 0.3402 0.8402 0.0000 1
Hf3 Hf 0.6598 0.1598 0.0000 1
Hf4 Hf 0.8402 0.6598 0.0000 1
Cu1 Cu 0.0000 0.0000 0.5000 1
Cu2 Cu 0.5000 0.5000 0.5000 1
Os1 Os 0.1395 0.6395 0.5000 1
Os2 Os 0.3605 0.1395 0.5000 1
Os3 Os 0.6395 0.8605 0.5000 1
Os4 Os 0.8605 0.3605 0.5000 1

[5]
# Cs3Cd2I8 | Alexandria via LeMat-Bulk | PBE | optimized geometry
# - D(E_F) (states/eV/cell) = 15.470
# - energy (eV per cell) = -29.124
data_Cs3Cd2I8
_chemical_formula_sum 'Cs3 Cd2 I8'
_space_group_name_H-M_alt 'P 1'
_space_group_IT_number 1
_cell_length_a 12.2058
_cell_length_b 12.2058
_cell_length_c 12.2058
_cell_angle_alpha 40.00
_cell_angle_beta 40.00
_cell_angle_gamma 40.00
loop_
_space_group_symop_operation_xyz
'x,y,z'
loop_
_atom_site_label
_atom_site_type_symbol
_atom_site_fract_x
_atom_site_fract_y
_atom_site_fract_z
_atom_site_occupancy
Cs1 Cs 0.0000 0.0000 0.0000 1
Cs2 Cs 0.2071 0.2071 0.2071 1
Cs3 Cs 0.7929 0.7929 0.7929 1
Cd1 Cd 0.4020 0.4020 0.4020 1
Cd2 Cd 0.5980 0.5980 0.5980 1
I1 I 0.2077 0.7408 0.7408 1
I2 I 0.2592 0.2592 0.7923 1
I3 I 0.2592 0.7923 0.2592 1
I4 I 0.3201 0.3201 0.3201 1
I5 I 0.6799 0.6799 0.6799 1
I6 I 0.7408 0.2077 0.7408 1
I7 I 0.7408 0.7408 0.2077 1
I8 I 0.7923 0.2592 0.2592 1

[6]
# LaCuTc2 | Alexandria via LeMat-Bulk | PBE | optimized geometry
# - offset from the most stable computed form (eV per atom) = 0.000
# - D(E_F) (states/eV/cell) = 6.741
# - DFT formation energy (meV/atom) = 55
# - energy (eV per cell) = -59.075
data_LaCuTc2
_chemical_formula_sum 'La2 Cu2 Tc4'
_space_group_name_H-M_alt 'P 1'
_space_group_IT_number 1
_cell_length_a 7.4013
_cell_length_b 4.2725
_cell_length_c 5.8305
_cell_angle_alpha 90.00
_cell_angle_beta 115.11
_cell_angle_gamma 90.00
loop_
_space_group_symop_operation_xyz
'x,y,z'
loop_
_atom_site_label
_atom_site_type_symbol
_atom_site_fract_x
_atom_site_fract_y
_atom_site_fract_z
_atom_site_occupancy
La1 La 0.0000 0.0000 0.0000 1
La2 La 0.5000 0.5000 0.0000 1
Cu1 Cu 0.2078 0.0000 0.6230 1
Cu2 Cu 0.7078 0.5000 0.6230 1
Tc1 Tc 0.3043 0.5000 0.4125 1
Tc2 Tc 0.4909 0.0000 0.4721 1
Tc3 Tc 0.8043 0.0000 0.4125 1
Tc4 Tc 0.9909 0.5000 0.4721 1

[7]
# Cs3TaIr | Alexandria via LeMat-Bulk | PBE | optimized geometry
# - D(E_F) (states/eV/cell) = 10.755
# - DFT formation energy (meV/atom) = 1815
# - energy (eV per cell) = -14.201
data_Cs3TaIr
_chemical_formula_sum 'Cs3 Ta1 Ir1'
_space_group_name_H-M_alt 'P 1'
_space_group_IT_number 1
_cell_length_a 6.2412
_cell_length_b 6.2412
_cell_length_c 6.2412
_cell_angle_alpha 90.00
_cell_angle_beta 90.00
_cell_angle_gamma 90.00
loop_
_space_group_symop_operation_xyz
'x,y,z'
loop_
_atom_site_label
_atom_site_type_symbol
_atom_site_fract_x
_atom_site_fract_y
_atom_site_fract_z
_atom_site_occupancy
Cs1 Cs 0.0000 0.0000 0.5000 1
Cs2 Cs 0.0000 0.5000 0.0000 1
Cs3 Cs 0.5000 0.0000 0.0000 1
Ta1 Ta 0.5000 0.5000 0.5000 1
Ir1 Ir 0.0000 0.0000 0.0000 1

[8]
# AgIBrO2 | Alexandria via LeMat-Bulk | PBE | optimized geometry
# - offset from the most stable computed form (eV per atom) = 0.000
# - D(E_F) (states/eV/cell) = 2.121
# - energy (eV per cell) = -13.894
data_AgIBrO2
_chemical_formula_sum 'Ag1 I1 Br1 O2'
_space_group_name_H-M_alt 'P 1'
_space_group_IT_number 1
_cell_length_a 3.9615
_cell_length_b 3.9615
_cell_length_c 8.0429
_cell_angle_alpha 90.00
_cell_angle_beta 90.00
_cell_angle_gamma 90.00
loop_
_space_group_symop_operation_xyz
'x,y,z'
loop_
_atom_site_label
_atom_site_type_symbol
_atom_site_fract_x
_atom_site_fract_y
_atom_site_fract_z
_atom_site_occupancy
Ag1 Ag 0.0000 0.0000 0.0000 1
I1 I 0.5000 0.5000 0.0000 1
Br1 Br 0.5000 0.5000 0.5000 1
O1 O 0.0000 0.5000 0.5000 1
O2 O 0.5000 0.0000 0.5000 1

[9]
# Sr3Mg4Tl8 | Alexandria via LeMat-Bulk | PBE | optimized geometry
# - D(E_F) (states/eV/cell) = 6.458
# - DFT formation energy (meV/atom) = -225
# - energy (eV per cell) = -33.724
data_Sr3Mg4Tl8
_chemical_formula_sum 'Sr3 Mg4 Tl8'
_space_group_name_H-M_alt 'P 1'
_space_group_IT_number 1
_cell_length_a 7.5712
_cell_length_b 7.5712
_cell_length_c 7.5712
_cell_angle_alpha 90.00
_cell_angle_beta 90.00
_cell_angle_gamma 90.00
loop_
_space_group_symop_operation_xyz
'x,y,z'
loop_
_atom_site_label
_atom_site_type_symbol
_atom_site_fract_x
_atom_site_fract_y
_atom_site_fract_z
_atom_site_occupancy
Sr1 Sr 0.0000 0.0000 0.5000 1
Sr2 Sr 0.0000 0.5000 0.0000 1
Sr3 Sr 0.5000 0.0000 0.0000 1
Mg1 Mg 0.0000 0.0000 0.0000 1
Mg2 Mg 0.0000 0.5000 0.5000 1
Mg3 Mg 0.5000 0.0000 0.5000 1
Mg4 Mg 0.5000 0.5000 0.0000 1
Tl1 Tl 0.2725 0.2725 0.2725 1
Tl2 Tl 0.2725 0.2725 0.7275 1
Tl3 Tl 0.2725 0.7275 0.2725 1
Tl4 Tl 0.2725 0.7275 0.7275 1
Tl5 Tl 0.7275 0.2725 0.2725 1
Tl6 Tl 0.7275 0.2725 0.7275 1
Tl7 Tl 0.7275 0.7275 0.2725 1
Tl8 Tl 0.7275 0.7275 0.7275 1

[10]
# ReAgB2W | Alexandria via LeMat-Bulk | PBE | optimized geometry
# - D(E_F) (states/eV/cell) = 5.305
# - DFT formation energy (meV/atom) = 1819
# - energy (eV per cell) = -32.512
data_ReAgB2W
_chemical_formula_sum 'Re1 Ag1 B2 W1'
_space_group_name_H-M_alt 'P 1'
_space_group_IT_number 1
_cell_length_a 4.2062
_cell_length_b 4.2062
_cell_length_c 4.9295
_cell_angle_alpha 90.00
_cell_angle_beta 90.00
_cell_angle_gamma 90.00
loop_
_space_group_symop_operation_xyz
'x,y,z'
loop_
_atom_site_label
_atom_site_type_symbol
_atom_site_fract_x
_atom_site_fract_y
_atom_site_fract_z
_atom_site_occupancy
Re1 Re 0.0000 0.0000 0.0000 1
Ag1 Ag 0.5000 0.5000 0.0000 1
B1 B 0.0000 0.5000 0.5000 1
B2 B 0.5000 0.0000 0.5000 1
W1 W 0.0000 0.0000 0.5000 1

[11]
# FeAgN2 | Alexandria via LeMat-Bulk | PBE | optimized geometry
# - offset from the most stable computed form (eV per atom) = 0.000
# - D(E_F) (states/eV/cell) = 6.088
# - energy (eV per cell) = -104.532
data_FeAgN2
_chemical_formula_sum 'Fe4 Ag4 N8'
_space_group_name_H-M_alt 'P 1'
_space_group_IT_number 1
_cell_length_a 4.8768
_cell_length_b 4.8768
_cell_length_c 8.2302
_cell_angle_alpha 90.00
_cell_angle_beta 90.00
_cell_angle_gamma 90.00
loop_
_space_group_symop_operation_xyz
'x,y,z'
loop_
_atom_site_label
_atom_site_type_symbol
_atom_site_fract_x
_atom_site_fract_y
_atom_site_fract_z
_atom_site_occupancy
Fe1 Fe 0.0000 0.0000 0.0000 1
Fe2 Fe 0.0000 0.5000 0.2500 1
Fe3 Fe 0.5000 0.0000 0.7500 1
Fe4 Fe 0.5000 0.5000 0.5000 1
Ag1 Ag 0.0000 0.0000 0.5000 1
Ag2 Ag 0.0000 0.5000 0.7500 1
Ag3 Ag 0.5000 0.0000 0.2500 1
Ag4 Ag 0.5000 0.5000 0.0000 1
N1 N 0.1556 0.2500 0.1250 1
N2 N 0.2500 0.6556 0.3750 1
N3 N 0.2500 0.8444 0.8750 1
N4 N 0.3444 0.2500 0.6250 1
N5 N 0.6556 0.7500 0.6250 1
N6 N 0.7500 0.1556 0.8750 1
N7 N 0.7500 0.3444 0.3750 1
N8 N 0.8444 0.7500 0.1250 1

[12]
# AcEr2ScSe6 | Alexandria via LeMat-Bulk | PBE | optimized geometry
# - D(E_F) (states/eV/cell) = 0.000
# - energy (eV per cell) = -58.558
data_AcEr2ScSe6
_chemical_formula_sum 'Ac1 Er2 Sc1 Se6'
_space_group_name_H-M_alt 'P 1'
_space_group_IT_number 1
_cell_length_a 7.6679
_cell_length_b 7.6679
_cell_length_c 7.6679
_cell_angle_alpha 56.40
_cell_angle_beta 56.40
_cell_angle_gamma 56.40
loop_
_space_group_symop_operation_xyz
'x,y,z'
loop_
_atom_site_label
_atom_site_type_symbol
_atom_site_fract_x
_atom_site_fract_y
_atom_site_fract_z
_atom_site_occupancy
Ac1 Ac 0.0000 0.0000 0.0000 1
Er1 Er 0.2045 0.2045 0.2045 1
Er2 Er 0.7159 0.7159 0.7159 1
Sc1 Sc 0.5193 0.5193 0.5193 1
Se1 Se 0.1256 0.4290 0.7928 1
Se2 Se 0.3537 0.9211 0.5654 1
Se3 Se 0.4290 0.7928 0.1256 1
Se4 Se 0.5654 0.3537 0.9211 1
Se5 Se 0.7928 0.1256 0.4290 1
Se6 Se 0.9211 0.5654 0.3537 1

Copy entry 8 word for word.
# AgIBrO2 | Alexandria via LeMat-Bulk | PBE | optimized geometry
# - offset from the most stable computed form (eV per atom) = 0.000
# - D(E_F) (states/eV/cell) = 2.121
# - energy (eV per cell) = -13.894
data_AgIBrO2
_chemical_formula_sum 'Ag1 I1 Br1 O2'
_space_group_name_H-M_alt 'P 1'
_space_group_IT_number 1
_cell_length_a 3.9615
_cell_length_b 3.9615
_cell_length_c 8.0429
_cell_angle_alpha 90.00
_cell_angle_beta 90.00
_cell_angle_gamma 90.00
loop_
_space_group_symop_operation_xyz
'x,y,z'
loop_
_atom_site_label
_atom_site_type_symbol
_atom_site_fract_x
_atom_site_fract_y
_atom_site_fract_z
_atom_site_occupancy
Ag1 Ag 0.0000 0.0000 0.0000 1
I1 I 0.5000 0.5000 0.0000 1
Br1 Br 0.5000 0.5000 0.5000 1
O1 O 0.0000 0.5000 0.5000 1
O2 O 0.5000 0.0000 0.5000 1